Entry 1:
Computed, not measured: an optimized crystal structure of UTlAg4 at the PBE level of DFT.

The structure in CIF format:
```
data_UTlAg4
_chemical_formula_sum 'U4 Tl4 Ag16'
_space_group_name_H-M_alt 'F -4 3 m'
_space_group_IT_number 216
_space_group_name_Hall 'F -4 2 3'
_cell_length_a 8.0085
_cell_length_b 8.0085
_cell_length_c 8.0085
_cell_angle_alpha 90.00
_cell_angle_beta 90.00
_cell_angle_gamma 90.00
loop_
_atom_site_label
_atom_site_type_symbol
_atom_site_fract_x
_atom_site_fract_y
_atom_site_fract_z
_atom_site_occupancy
U1 U 0.0000 0.0000 0.0000 1
Tl1 Tl 0.2500 0.2500 0.2500 1
Ag1 Ag 0.1249 0.1249 0.6249 1
```

Values from the calculation:
As for the energy of formation: 0.22 eV/atom. As for the total energy: -3.9540 eV/atom.

=====

Entry 2:
Computed, not measured: an optimized crystal structure of TlVAg3 at the PBE level of DFT.

The structure in CIF format:
```
data_TlVAg3
_chemical_formula_sum 'Tl1 V1 Ag3'
_space_group_name_H-M_alt 'P m -3 m'
_space_group_IT_number 221
_space_group_name_Hall '-P 4 2 3'
_cell_length_a 5.2058
_cell_length_b 5.2058
_cell_length_c 5.2058
_cell_angle_alpha 90.00
_cell_angle_beta 90.00
_cell_angle_gamma 90.00
loop_
_atom_site_label
_atom_site_type_symbol
_atom_site_fract_x
_atom_site_fract_y
_atom_site_fract_z
_atom_site_occupancy
Tl1 Tl 0.0000 0.0000 0.0000 1
V1 V 0.5000 0.5000 0.5000 1
Ag1 Ag 0.0000 0.0000 0.5000 1
```

Values from the calculation:
As for the energy of formation: 1.16 eV/atom. Its energy above the most stable polymorph in this dataset is 0.211 eV/atom. As for the total energy: -2.8501 eV/atom.

=====

Entry 3:
Computed, not measured: an optimized crystal structure of Tl3VAg at the PBE level of DFT.

The structure in CIF format:
```
data_Tl3VAg
_chemical_formula_sum 'Tl3 V1 Ag1'
_space_group_name_H-M_alt 'P m -3 m'
_space_group_IT_number 221
_space_group_name_Hall '-P 4 2 3'
_cell_length_a 5.4460
_cell_length_b 5.4460
_cell_length_c 5.4460
_cell_angle_alpha 90.00
_cell_angle_beta 90.00
_cell_angle_gamma 90.00
loop_
_atom_site_label
_atom_site_type_symbol
_atom_site_fract_x
_atom_site_fract_y
_atom_site_fract_z
_atom_site_occupancy
Tl1 Tl 0.0000 0.0000 0.5000 1
V1 V 0.5000 0.5000 0.5000 1
Ag1 Ag 0.0000 0.0000 0.0000 1
```

Values from the calculation:
As for the energy of formation: 0.89 eV/atom. Its energy above the most stable polymorph in this dataset is 0.220 eV/atom. As for the total energy: -2.9242 eV/atom.

=====

Entry 4:
Computed, not measured: an optimized crystal structure of TlVAg3 at the PBE level of DFT.

The structure in CIF format:
```
data_TlVAg3
_chemical_formula_sum 'Tl1 V1 Ag3'
_space_group_name_H-M_alt 'P m -3 m'
_space_group_IT_number 221
_space_group_name_Hall '-P 4 2 3'
_cell_length_a 5.1303
_cell_length_b 5.1303
_cell_length_c 5.1303
_cell_angle_alpha 90.00
_cell_angle_beta 90.00
_cell_angle_gamma 90.00
loop_
_atom_site_label
_atom_site_type_symbol
_atom_site_fract_x
_atom_site_fract_y
_atom_site_fract_z
_atom_site_occupancy
Tl1 Tl 0.0000 0.0000 0.0000 1
V1 V 0.5000 0.5000 0.5000 1
Ag1 Ag 0.0000 0.5000 0.5000 1
```

Values from the calculation:
As for the energy of formation: 0.95 eV/atom. Its energy above the most stable polymorph in this dataset is 0.000 eV/atom. As for the total energy: -3.0613 eV/atom.

=====

Entry 5:
Computed, not measured: an optimized crystal structure of Tl3VAg at the PBE level of DFT.

The structure in CIF format:
```
data_Tl3VAg
_chemical_formula_sum 'Tl3 V1 Ag1'
_space_group_name_H-M_alt 'P m -3 m'
_space_group_IT_number 221
_space_group_name_Hall '-P 4 2 3'
_cell_length_a 5.3885
_cell_length_b 5.3885
_cell_length_c 5.3885
_cell_angle_alpha 90.00
_cell_angle_beta 90.00
_cell_angle_gamma 90.00
loop_
_atom_site_label
_atom_site_type_symbol
_atom_site_fract_x
_atom_site_fract_y
_atom_site_fract_z
_atom_site_occupancy
Tl1 Tl 0.0000 0.0000 0.5000 1
V1 V 0.0000 0.0000 0.0000 1
Ag1 Ag 0.5000 0.5000 0.5000 1
```

Values from the calculation:
As for the energy of formation: 0.67 eV/atom. Its energy above the most stable polymorph in this dataset is 0.000 eV/atom. As for the total energy: -3.1442 eV/atom.

=====

Entry 6:
Computed, not measured: an optimized crystal structure of TlV2Ag at the PBE level of DFT.

The structure in CIF format:
```
data_TlV2Ag
_chemical_formula_sum 'Tl4 V8 Ag4'
_space_group_name_H-M_alt 'I -4 2 d'
_space_group_IT_number 122
_space_group_name_Hall 'I -4 2bw'
_cell_length_a 7.3999
_cell_length_b 7.3999
_cell_length_c 5.4150
_cell_angle_alpha 90.00
_cell_angle_beta 90.00
_cell_angle_gamma 90.00
loop_
_atom_site_label
_atom_site_type_symbol
_atom_site_fract_x
_atom_site_fract_y
_atom_site_fract_z
_atom_site_occupancy
Tl1 Tl 0.0000 0.0000 0.0000 1
V1 V 0.2427 0.2500 0.6250 1
Ag1 Ag 0.0000 0.0000 0.5000 1
```

Values from the calculation:
As for the energy of formation: 0.93 eV/atom. As for the total energy: -4.9370 eV/atom.

=====

Entry 7:
Computed, not measured: an optimized crystal structure of Zr2TlVAg at the PBE level of DFT.

The structure in CIF format:
```
data_Zr2TlVAg
_chemical_formula_sum 'Zr2 Tl1 V1 Ag1'
_space_group_name_H-M_alt 'P 4/m m m'
_space_group_IT_number 123
_space_group_name_Hall '-P 4 2'
_cell_length_a 5.1699
_cell_length_b 5.1699
_cell_length_c 4.8445
_cell_angle_alpha 90.00
_cell_angle_beta 90.00
_cell_angle_gamma 90.00
loop_
_atom_site_label
_atom_site_type_symbol
_atom_site_fract_x
_atom_site_fract_y
_atom_site_fract_z
_atom_site_occupancy
Zr1 Zr 0.0000 0.5000 0.0000 1
Tl1 Tl 0.0000 0.0000 0.5000 1
V1 V 0.5000 0.5000 0.5000 1
Ag1 Ag 0.5000 0.5000 0.0000 1
```

Values from the calculation:
As for the energy of formation: 0.97 eV/atom. As for the total energy: -5.3197 eV/atom.

=====

Entry 8:
Computed, not measured: an optimized crystal structure of Tl2AgW at the PBE level of DFT.

The structure in CIF format:
```
data_Tl2AgW
_chemical_formula_sum 'Tl4 Ag2 W2'
_space_group_name_H-M_alt 'C 1 2/m 1'
_space_group_IT_number 12
_space_group_name_Hall '-C 2y'
_cell_length_a 6.4460
_cell_length_b 9.6445
_cell_length_c 2.9975
_cell_angle_alpha 90.00
_cell_angle_beta 116.23
_cell_angle_gamma 90.00
loop_
_atom_site_label
_atom_site_type_symbol
_atom_site_fract_x
_atom_site_fract_y
_atom_site_fract_z
_atom_site_occupancy
Tl1 Tl 0.2500 0.2500 0.0000 1
Ag1 Ag 0.0000 0.0000 0.5000 1
W1 W 0.0000 0.5000 0.5000 1
```

Values from the calculation:
As for the energy of formation: 0.81 eV/atom. Its energy above the most stable polymorph in this dataset is 0.115 eV/atom. As for the total energy: -4.3218 eV/atom.

=====

Entry 9:
Computed, not measured: an optimized crystal structure of TlAgW2 at the PBE level of DFT.

The structure in CIF format:
```
data_TlAgW2
_chemical_formula_sum 'Tl4 Ag4 W8'
_space_group_name_H-M_alt 'F -4 3 m'
_space_group_IT_number 216
_space_group_name_Hall 'F -4 2 3'
_cell_length_a 6.6180
_cell_length_b 6.6180
_cell_length_c 6.6180
_cell_angle_alpha 90.00
_cell_angle_beta 90.00
_cell_angle_gamma 90.00
loop_
_atom_site_label
_atom_site_type_symbol
_atom_site_fract_x
_atom_site_fract_y
_atom_site_fract_z
_atom_site_occupancy
Tl1 Tl 0.0000 0.0000 0.0000 1
Ag1 Ag 0.2500 0.2500 0.2500 1
W1 W 0.0000 0.0000 0.5000 1
W2 W 0.2500 0.2500 0.7500 1
```

Values from the calculation:
As for the energy of formation: 0.99 eV/atom. Its energy above the most stable polymorph in this dataset is 0.441 eV/atom. As for the total energy: -6.7879 eV/atom.

=====

Entry 10:
Computed, not measured: an optimized crystal structure of TlAgW2 at the PBE level of DFT.

The structure in CIF format:
```
data_TlAgW2
_chemical_formula_sum 'Tl2 Ag2 W4'
_space_group_name_H-M_alt 'I m m 2'
_space_group_IT_number 44
_space_group_name_Hall 'I 2 -2'
_cell_length_a 3.3495
_cell_length_b 4.8211
_cell_length_c 9.2403
_cell_angle_alpha 90.00
_cell_angle_beta 90.00
_cell_angle_gamma 90.00
loop_
_atom_site_label
_atom_site_type_symbol
_atom_site_fract_x
_atom_site_fract_y
_atom_site_fract_z
_atom_site_occupancy
Tl1 Tl 0.0000 0.0000 0.0000 1
Ag1 Ag 0.0000 0.5000 0.7600 1
W1 W 0.0000 0.0000 0.5264 1
W2 W 0.0000 0.5000 0.2288 1
```

Values from the calculation:
As for the energy of formation: 0.83 eV/atom. Its energy above the most stable polymorph in this dataset is 0.274 eV/atom. As for the total energy: -6.9543 eV/atom.

=====

Entry 11:
Computed, not measured: an optimized crystal structure of TlAgW at the PBE level of DFT.

The structure in CIF format:
```
data_TlAgW
_chemical_formula_sum 'Tl4 Ag4 W4'
_space_group_name_H-M_alt 'F -4 3 m'
_space_group_IT_number 216
_space_group_name_Hall 'F -4 2 3'
_cell_length_a 6.5163
_cell_length_b 6.5163
_cell_length_c 6.5163
_cell_angle_alpha 90.00
_cell_angle_beta 90.00
_cell_angle_gamma 90.00
loop_
_atom_site_label
_atom_site_type_symbol
_atom_site_fract_x
_atom_site_fract_y
_atom_site_fract_z
_atom_site_occupancy
Tl1 Tl 0.0000 0.0000 0.0000 1
Ag1 Ag 0.0000 0.0000 0.5000 1
W1 W 0.2500 0.2500 0.7500 1
```

Values from the calculation:
As for the energy of formation: 1.46 eV/atom. Its energy above the most stable polymorph in this dataset is 0.702 eV/atom. As for the total energy: -4.5956 eV/atom.

=====

Entry 12:
Computed, not measured: an optimized crystal structure of TlAgW2 at the PBE level of DFT.

The structure in CIF format:
```
data_TlAgW2
_chemical_formula_sum 'Tl1 Ag1 W2'
_space_group_name_H-M_alt 'P 1 m 1'
_space_group_IT_number 6
_space_group_name_Hall 'P -2y'
_cell_length_a 2.8838
_cell_length_b 4.2498
_cell_length_c 6.0771
_cell_angle_alpha 90.00
_cell_angle_beta 92.00
_cell_angle_gamma 90.00
loop_
_atom_site_label
_atom_site_type_symbol
_atom_site_fract_x
_atom_site_fract_y
_atom_site_fract_z
_atom_site_occupancy
Tl1 Tl 0.0000 0.0000 0.0000 1
Ag1 Ag 0.4623 0.5000 0.7507 1
W1 W 0.6013 0.5000 0.2930 1
W2 W 0.9365 0.0000 0.4871 1
```

Values from the calculation:
As for the energy of formation: 0.72 eV/atom. Its energy above the most stable polymorph in this dataset is 0.164 eV/atom. As for the total energy: -7.0644 eV/atom.

=====

Entry 13:
Computed, not measured: an optimized crystal structure of TlAgW2 at the PBE level of DFT.

The structure in CIF format:
```
data_TlAgW2
_chemical_formula_sum 'Tl4 Ag4 W8'
_space_group_name_H-M_alt 'I -4 2 d'
_space_group_IT_number 122
_space_group_name_Hall 'I -4 2bw'
_cell_length_a 7.5774
_cell_length_b 7.5774
_cell_length_c 5.4587
_cell_angle_alpha 90.00
_cell_angle_beta 90.00
_cell_angle_gamma 90.00
loop_
_atom_site_label
_atom_site_type_symbol
_atom_site_fract_x
_atom_site_fract_y
_atom_site_fract_z
_atom_site_occupancy
Tl1 Tl 0.0000 0.0000 0.0000 1
Ag1 Ag 0.0000 0.0000 0.5000 1
W1 W 0.2416 0.7500 0.6250 1
```

Values from the calculation:
As for the energy of formation: 1.54 eV/atom. Its energy above the most stable polymorph in this dataset is 0.987 eV/atom. As for the total energy: -6.2411 eV/atom.